Record 1
Entry from Alexandria: ZrMoW3 after structural relaxation (GGA-PBE).

Output
Excess energy over the best structure of this formula in the dataset = 1.089 eV/atom
Density of states at the Fermi level = 1.67 states/eV/atom
Energy relative to the elements = 2.74 eV per atom

Lattice parameters (Å, degrees): 4.713 4.713 4.713 90.00 90.00 90.00
Positions (direct):
Zr: 0.000 0.000 0.000
Mo: 0.500 0.500 0.500
W: 0.000 0.000 0.500
W: 0.000 0.500 0.000
W: 0.500 0.000 0.000

Record 2
Entry from Alexandria: ZrMoW2 after structural relaxation (GGA-PBE).

Output
Excess energy over the best structure of this formula in the dataset = 0.344 eV/atom
Density of states at the Fermi level = 0.75 states/eV/atom
Energy relative to the elements = 0.37 eV per atom

Lattice parameters (Å, degrees): 9.086 9.086 9.086 19.25 19.25 19.25
Positions (direct):
Zr: 0.000 0.000 0.000
Mo: 0.244 0.244 0.244
W: 0.502 0.502 0.502
W: 0.757 0.757 0.757

Record 3
Entry from Alexandria: ZrMoW after structural relaxation (GGA-PBE).

Output
Excess energy over the best structure of this formula in the dataset = 0.117 eV/atom
Density of states at the Fermi level = 0.85 states/eV/atom
Energy relative to the elements = -0.03 eV per atom

Lattice parameters (Å, degrees): 5.600 5.600 5.600 146.39 146.39 48.28
Positions (direct):
Zr: 0.000 0.000 0.000
Mo: 0.322 0.322 0.000
W: 0.682 0.682 0.000

Record 4
Entry from Alexandria: ZrMoW2 after structural relaxation (GGA-PBE).

Output
Excess energy over the best structure of this formula in the dataset = 0.285 eV/atom
Density of states at the Fermi level = 0.76 states/eV/atom
Energy relative to the elements = 0.31 eV per atom

Lattice parameters (Å, degrees): 5.505 5.505 5.505 139.16 139.16 59.13
Positions (direct):
Zr: 0.000 0.000 0.000
Mo: 0.500 0.500 0.000
W: 0.250 0.750 0.500
W: 0.750 0.250 0.500

Record 5
Entry from Alexandria: ZrMoW after structural relaxation (GGA-PBE).

Output
Excess energy over the best structure of this formula in the dataset = 0.000 eV/atom
Density of states at the Fermi level = 0.61 states/eV/atom
Energy relative to the elements = -0.14 eV per atom

Lattice parameters (Å, degrees): 5.402 5.402 5.402 120.30 119.74 89.96
Positions (direct):
Zr: 0.375 0.125 0.250
Zr: 0.625 0.875 0.750
Mo: 0.000 0.000 0.500
Mo: 0.000 0.500 0.000
W: 0.000 0.500 0.500
W: 0.500 0.500 0.000

Record 6
Entry from Alexandria: ZrMoW2 after structural relaxation (GGA-PBE).

Output
Excess energy over the best structure of this formula in the dataset = 0.070 eV/atom
Density of states at the Fermi level = 0.83 states/eV/atom
Energy relative to the elements = 0.09 eV per atom

Lattice parameters (Å, degrees): 4.596 4.596 4.596 60.00 60.00 60.00
Positions (direct):
Zr: 0.000 0.000 0.000
Mo: 0.500 0.500 0.500
W: 0.250 0.250 0.250
W: 0.750 0.750 0.750

Record 7
Entry from Alexandria: ZrMo3W after structural relaxation (GGA-PBE).

Output
Excess energy over the best structure of this formula in the dataset = 0.000 eV/atom
Density of states at the Fermi level = 1.14 states/eV/atom
Energy relative to the elements = 1.39 eV per atom

Lattice parameters (Å, degrees): 4.753 4.753 4.753 90.00 90.00 90.00
Positions (direct):
Zr: 0.000 0.000 0.000
Mo: 0.000 0.500 0.500
Mo: 0.500 0.000 0.500
Mo: 0.500 0.500 0.000
W: 0.500 0.500 0.500

Record 8
Entry from Alexandria: ZrMoW2 after structural relaxation (GGA-PBE).

Output
Excess energy over the best structure of this formula in the dataset = 0.046 eV/atom
Density of states at the Fermi level = 0.93 states/eV/atom
Energy relative to the elements = 0.07 eV per atom

Lattice parameters (Å, degrees): 2.824 2.824 9.235 90.00 90.00 110.43
Positions (direct):
Zr: 0.000 0.000 0.000
Mo: 0.500 0.500 0.264
W: 0.000 0.000 0.498
W: 0.500 0.500 0.734

Record 9
Entry from Alexandria: Zr3MoW after structural relaxation (GGA-PBE).

Output
Density of states at the Fermi level = 1.24 states/eV/atom
Energy relative to the elements = 1.31 eV per atom

Lattice parameters (Å, degrees): 4.925 4.925 4.925 90.00 90.00 90.00
Positions (direct):
Zr: 0.000 0.000 0.500
Zr: 0.000 0.500 0.000
Zr: 0.500 0.000 0.000
Mo: 0.000 0.000 0.000
W: 0.500 0.500 0.500

Record 10
Entry from Alexandria: ZrMoW2 after structural relaxation (GGA-PBE).

Output
Excess energy over the best structure of this formula in the dataset = 0.033 eV/atom
Density of states at the Fermi level = 0.80 states/eV/atom
Energy relative to the elements = 0.06 eV per atom

Lattice parameters (Å, degrees): 3.238 4.552 4.664 90.00 90.00 90.00
Positions (direct):
Zr: 0.000 0.000 0.000
Mo: 0.500 0.500 0.000
W: 0.000 0.500 0.500
W: 0.500 0.000 0.500

Record 11
Entry from Alexandria: ZrMoW after structural relaxation (GGA-PBE).

Output
Excess energy over the best structure of this formula in the dataset = 0.217 eV/atom
Density of states at the Fermi level = 1.08 states/eV/atom
Energy relative to the elements = 0.07 eV per atom

Lattice parameters (Å, degrees): 4.689 4.566 5.470 90.00 115.24 90.00
Positions (direct):
Zr: 0.000 0.000 0.000
Zr: 0.325 0.000 0.651
Mo: 0.163 0.500 0.326
Mo: 0.823 0.500 0.646
W: 0.505 0.500 0.010
W: 0.663 0.000 0.325

Record 12
Entry from Alexandria: ZrMoW2 after structural relaxation (GGA-PBE).

Output
Excess energy over the best structure of this formula in the dataset = 0.054 eV/atom
Density of states at the Fermi level = 0.97 states/eV/atom
Energy relative to the elements = 0.08 eV per atom

Lattice parameters (Å, degrees): 2.851 4.530 5.410 90.00 100.03 90.00
Positions (direct):
Zr: 0.000 0.000 0.000
Mo: 0.750 0.500 0.255
W: 0.261 0.500 0.738
W: 0.507 0.000 0.500

Record 13
Entry from Alexandria: ZrMoW after structural relaxation (GGA-PBE).

Output
Excess energy over the best structure of this formula in the dataset = 0.471 eV/atom
Density of states at the Fermi level = 0.91 states/eV/atom
Energy relative to the elements = 0.33 eV per atom

Lattice parameters (Å, degrees): 4.956 4.956 4.956 148.16 121.50 68.16
Positions (direct):
Zr: 0.000 0.000 0.000
Mo: 0.334 0.334 0.000
W: 0.661 0.661 0.000

Record 14
Entry from Alexandria: ZrMoW2 after structural relaxation (GGA-PBE).

Output
Excess energy over the best structure of this formula in the dataset = 0.776 eV/atom
Density of states at the Fermi level = 0.79 states/eV/atom
Energy relative to the elements = 0.80 eV per atom

Lattice parameters (Å, degrees): 5.921 5.921 5.921 102.49 102.49 124.57
Positions (direct):
Zr: 0.000 0.000 0.000
Zr: 0.750 0.250 0.500
Mo: 0.250 0.750 0.500
Mo: 0.500 0.500 0.000
W: 0.154 0.625 0.029
W: 0.375 0.404 0.529
W: 0.596 0.125 0.971
W: 0.875 0.846 0.471

Record 15
Entry from Alexandria: ZrMoW after structural relaxation (GGA-PBE).

Output
Excess energy over the best structure of this formula in the dataset = 0.232 eV/atom
Density of states at the Fermi level = 1.17 states/eV/atom
Energy relative to the elements = 0.09 eV per atom

Lattice parameters (Å, degrees): 7.315 7.105 2.875 82.64 74.42 22.94
Positions (direct):
Zr: 0.000 0.000 0.000
Mo: 0.673 0.673 0.327
W: 0.325 0.325 0.675

Record 16
Entry from Alexandria: Y3Mo5 after structural relaxation (GGA-PBE).

Output
Excess energy over the best structure of this formula in the dataset = 0.159 eV/atom
Density of states at the Fermi level = 0.90 states/eV/atom
Energy relative to the elements = 0.66 eV per atom

Lattice parameters (Å, degrees): 9.672 9.672 4.637 90.00 90.00 120.00
Positions (direct):
Y: 0.000 0.376 0.250
Y: 0.000 0.624 0.750
Y: 0.376 0.000 0.250
Y: 0.376 0.376 0.750
Y: 0.624 0.000 0.750
Y: 0.624 0.624 0.250
Mo: 0.000 0.154 0.750
Mo: 0.000 0.846 0.250
Mo: 0.154 0.000 0.750
Mo: 0.154 0.154 0.250
Mo: 0.333 0.667 0.000
Mo: 0.333 0.667 0.500
Mo: 0.667 0.333 0.000
Mo: 0.667 0.333 0.500
Mo: 0.846 0.000 0.250
Mo: 0.846 0.846 0.750

Record 17
Entry from Alexandria: YMo7 after structural relaxation (GGA-PBE).

Output
Density of states at the Fermi level = 1.76 states/eV/atom
Energy relative to the elements = 0.65 eV per atom

Lattice parameters (Å, degrees): 5.796 5.796 5.796 60.00 60.00 60.00
Positions (direct):
Y: 0.000 0.000 0.000
Mo: 0.000 0.000 0.500
Mo: 0.000 0.500 0.000
Mo: 0.000 0.500 0.500
Mo: 0.500 0.000 0.000
Mo: 0.500 0.000 0.500
Mo: 0.500 0.500 0.000
Mo: 0.500 0.500 0.500

Record 18
Entry from Alexandria: Y4Mo5 after structural relaxation (GGA-PBE).

Output
Excess energy over the best structure of this formula in the dataset = 0.200 eV/atom
Density of states at the Fermi level = 1.11 states/eV/atom
Energy relative to the elements = 0.71 eV per atom

Lattice parameters (Å, degrees): 8.715 8.715 5.693 90.00 90.00 120.00
Positions (direct):
Y: 0.000 0.000 0.000
Y: 0.000 0.000 0.500
Y: 0.000 0.337 0.250
Y: 0.000 0.663 0.750
Y: 0.337 0.000 0.250
Y: 0.337 0.337 0.750
Y: 0.663 0.000 0.750
Y: 0.663 0.663 0.250
Mo: 0.000 0.354 0.750
Mo: 0.000 0.646 0.250
Mo: 0.333 0.667 0.000
Mo: 0.333 0.667 0.500
Mo: 0.354 0.000 0.750
Mo: 0.354 0.354 0.250
Mo: 0.646 0.000 0.250
Mo: 0.646 0.646 0.750
Mo: 0.667 0.333 0.000
Mo: 0.667 0.333 0.500

Record 19
Entry from Alexandria: Y3Mo2 after structural relaxation (GGA-PBE).

Output
Excess energy over the best structure of this formula in the dataset = 0.281 eV/atom
Density of states at the Fermi level = 1.37 states/eV/atom
Energy relative to the elements = 0.50 eV per atom

Lattice parameters (Å, degrees): 4.914 4.914 6.141 90.00 90.00 120.00
Positions (direct):
Y: 0.000 0.000 0.000
Y: 0.333 0.667 0.362
Y: 0.667 0.333 0.638
Mo: 0.333 0.667 0.914
Mo: 0.667 0.333 0.086

Record 20
Entry from Alexandria: Y7Mo after structural relaxation (GGA-PBE).

Output
Density of states at the Fermi level = 1.51 states/eV/atom
Energy relative to the elements = 0.26 eV per atom

Lattice parameters (Å, degrees): 6.880 6.880 6.880 60.00 60.00 60.00
Positions (direct):
Y: 0.000 0.000 0.000
Y: 0.000 0.000 0.500
Y: 0.000 0.500 0.000
Y: 0.000 0.500 0.500
Y: 0.500 0.000 0.000
Y: 0.500 0.000 0.500
Y: 0.500 0.500 0.000
Mo: 0.500 0.500 0.500

Record 21
Entry from Alexandria: Y4Mo5 after structural relaxation (GGA-PBE).

Output
Excess energy over the best structure of this formula in the dataset = 0.000 eV/atom
Density of states at the Fermi level = 1.17 states/eV/atom
Energy relative to the elements = 0.51 eV per atom

Lattice parameters (Å, degrees): 7.688 7.688 7.688 92.84 92.84 154.27
Positions (direct):
Y: 0.000 0.307 0.307
Y: 0.000 0.693 0.693
Y: 0.307 0.000 0.307
Y: 0.693 0.000 0.693
Mo: 0.000 0.000 0.000
Mo: 0.318 0.318 0.636
Mo: 0.318 0.682 0.000
Mo: 0.682 0.318 0.000
Mo: 0.682 0.682 0.364

Record 22
Entry from Alexandria: Y4Mo after structural relaxation (GGA-PBE).

Output
Excess energy over the best structure of this formula in the dataset = 0.651 eV/atom
Density of states at the Fermi level = 1.17 states/eV/atom
Energy relative to the elements = 0.85 eV per atom

Lattice parameters (Å, degrees): 9.193 9.193 9.193 154.06 154.06 37.01
Positions (direct):
Y: 0.085 0.085 0.000
Y: 0.250 0.750 0.500
Y: 0.750 0.250 0.500
Y: 0.915 0.915 0.000
Mo: 0.500 0.500 0.000

Record 23
Entry from Alexandria: Y5Mo3 after structural relaxation (GGA-PBE).

Output
Excess energy over the best structure of this formula in the dataset = 0.000 eV/atom
Density of states at the Fermi level = 1.68 states/eV/atom
Energy relative to the elements = 0.44 eV per atom

Lattice parameters (Å, degrees): 8.603 8.603 6.198 90.00 90.00 120.00
Positions (direct):
Y: 0.000 0.259 0.250
Y: 0.000 0.741 0.750
Y: 0.259 0.000 0.250
Y: 0.259 0.259 0.750
Y: 0.333 0.667 0.000
Y: 0.333 0.667 0.500
Y: 0.667 0.333 0.000
Y: 0.667 0.333 0.500
Y: 0.741 0.000 0.750
Y: 0.741 0.741 0.250
Mo: 0.000 0.401 0.750
Mo: 0.000 0.599 0.250
Mo: 0.401 0.000 0.750
Mo: 0.401 0.401 0.250
Mo: 0.599 0.000 0.250
Mo: 0.599 0.599 0.750

Record 24
Entry from Alexandria: YMo8 after structural relaxation (GGA-PBE).

Output
Density of states at the Fermi level = 0.74 states/eV/atom
Energy relative to the elements = 0.37 eV per atom

Lattice parameters (Å, degrees): 6.191 6.191 6.191 98.44 98.44 134.96
Positions (direct):
Y: 0.000 0.000 0.000
Mo: 0.000 0.347 0.347
Mo: 0.000 0.653 0.653
Mo: 0.323 0.323 0.646
Mo: 0.323 0.677 0.000
Mo: 0.347 0.000 0.347
Mo: 0.653 0.000 0.653
Mo: 0.677 0.323 0.000
Mo: 0.677 0.677 0.354

Record 25
Entry from Alexandria: Y5Mo4 after structural relaxation (GGA-PBE).

Output
Excess energy over the best structure of this formula in the dataset = 0.000 eV/atom
Density of states at the Fermi level = 1.19 states/eV/atom
Energy relative to the elements = 0.44 eV per atom

Lattice parameters (Å, degrees): 7.957 7.957 7.957 92.64 92.64 155.21
Positions (direct):
Y: 0.000 0.000 0.000
Y: 0.332 0.332 0.664
Y: 0.332 0.668 0.000
Y: 0.668 0.332 0.000
Y: 0.668 0.668 0.336
Mo: 0.000 0.366 0.366
Mo: 0.000 0.634 0.634
Mo: 0.366 0.000 0.366
Mo: 0.634 0.000 0.634